# CaMoF5

A geometry-optimized CaMoF5 structure (PBE with a Hubbard U, Alexandria). Values from VASP.

Structure (Quantum ESPRESSO input):
```
&SYSTEM
  ibrav = 0, nat = 28, ntyp = 3
/
ATOMIC_SPECIES
Ca 40.08 Ca.upf
Mo 95.94 Mo.upf
F 19.00 F.upf
ATOMIC_POSITIONS crystal
Ca 0.028 0.016 0.253
Ca 0.028 0.484 0.753
Ca 0.972 0.516 0.247
Ca 0.972 0.984 0.747
Mo 0.395 0.246 0.602
Mo 0.395 0.254 0.102
Mo 0.605 0.746 0.898
Mo 0.605 0.754 0.398
F 0.105 0.113 0.559
F 0.105 0.387 0.059
F 0.140 0.107 0.001
F 0.140 0.393 0.501
F 0.307 0.634 0.355
F 0.307 0.866 0.855
F 0.359 0.184 0.342
F 0.359 0.316 0.842
F 0.363 0.601 0.799
F 0.363 0.899 0.299
F 0.637 0.101 0.701
F 0.637 0.399 0.201
F 0.641 0.684 0.158
F 0.641 0.816 0.658
F 0.693 0.134 0.145
F 0.693 0.366 0.645
F 0.860 0.607 0.499
F 0.860 0.893 0.999
F 0.895 0.613 0.941
F 0.895 0.887 0.441
CELL_PARAMETERS angstrom
5.709 0.000 0.000
0.000 10.734 0.000
-2.688 0.000 7.484
```

Computed properties:
Uncorrected energy in Ry per atom: -0.4253
M_tot in μB/f.u.: 3.00
Theoretical density in Mg/m³: 3.345